## RbBiCl (PBE)

Data for an optimized crystal structure of RbBiCl.

a b c (Å): 6.074 4.906 9.977
angles (deg): 81.28 72.29 59.35
Fractional positions:
Bi (0.865, 0.980, 0.776)
Rb (0.240, 0.447, 0.444)
Rb (0.909, 0.452, 0.106)
Bi (0.513, 0.683, 0.776)
Cl (0.637, 0.698, 0.445)
Cl (0.304, 0.703, 0.108)

Values from the calculation:
Energy relative to the elements, uncorrected (eV/atom): -1.05
Total magnetization (μB per formula unit): 0.00


## Al3SnBi (PBE)

Data for an optimized crystal structure of Al3SnBi.

a b c (Å): 5.245 5.245 5.245
angles (deg): 90.00 90.00 90.00
Fractional positions:
Al (0.000, 0.000, 0.500)
Bi (0.500, 0.500, 0.500)
Al (0.000, 0.500, 0.000)
Sn (0.000, 0.000, 0.000)
Al (0.500, 0.000, 0.000)

Values from the calculation:
Excess energy over the best structure of this formula in the dataset (meV/atom): 0
Energy relative to the elements (eV per formula unit): 3.331
Total magnetization (μB per formula unit): 0.00


## Dy4TeIr (PBE)

Data for an optimized crystal structure of Dy4TeIr.

a b c (Å): 3.989 8.185 19.460
angles (deg): 90.00 90.00 90.00
Fractional positions:
Dy (0.250, 0.496, 0.432)
Dy (0.750, 0.004, 0.932)
Ir (0.750, 0.741, 0.048)
Te (0.250, 0.760, 0.311)
Dy (0.250, 0.143, 0.353)
Ir (0.250, 0.759, 0.548)
Dy (0.250, 0.038, 0.784)
Dy (0.250, 0.139, 0.549)
Dy (0.750, 0.861, 0.451)
Ir (0.750, 0.241, 0.452)
Dy (0.750, 0.357, 0.853)
Dy (0.750, 0.962, 0.216)
Dy (0.750, 0.462, 0.284)
Dy (0.250, 0.538, 0.716)
Dy (0.750, 0.857, 0.647)
Dy (0.750, 0.361, 0.049)
Te (0.250, 0.260, 0.189)
Dy (0.750, 0.504, 0.568)
Dy (0.250, 0.996, 0.068)
Dy (0.250, 0.643, 0.147)
Dy (0.250, 0.639, 0.951)
Te (0.750, 0.240, 0.689)
Te (0.750, 0.740, 0.811)
Ir (0.250, 0.259, 0.952)

Values from the calculation:
Excess energy over the best structure of this formula in the dataset (meV/atom): 0
Energy relative to the elements, uncorrected (eV/atom): -0.83
Total magnetization (μB per formula unit): 0.00


## Li2ReP (PBE)

Data for an optimized crystal structure of Li2ReP.

a b c (Å): 4.481 4.481 4.481
angles (deg): 133.25 133.18 68.31
Fractional positions:
Li (0.000, 0.000, 0.000)
Li (0.750, 0.250, 0.500)
P (0.500, 0.500, 0.000)
Re (0.250, 0.750, 0.500)

Values from the calculation:
Energy relative to the elements (eV per formula unit): -0.325
Total magnetization (μB per formula unit): 0.00


## Ho2Al3Tc (PBE)

Data for an optimized crystal structure of Ho2Al3Tc.

a b c (Å): 5.492 5.492 8.921
angles (deg): 90.00 90.00 120.00
Fractional positions:
Al (0.325, 0.163, 0.750)
Ho (0.333, 0.667, 0.552)
Al (0.675, 0.837, 0.250)
Ho (0.333, 0.667, 0.948)
Ho (0.667, 0.333, 0.448)
Al (0.163, 0.837, 0.250)
Tc (0.000, 0.000, 0.000)
Al (0.163, 0.325, 0.250)
Ho (0.667, 0.333, 0.052)
Al (0.837, 0.163, 0.750)
Tc (0.000, 0.000, 0.500)
Al (0.837, 0.675, 0.750)

Values from the calculation:
Excess energy over the best structure of this formula in the dataset (meV/atom): 0
Energy relative to the elements (eV per formula unit): -3.123
Total magnetization (μB per formula unit): 0.00